No. 1
Below is a relaxed structure of PmMg11Cu, with properties calculated at the GGA-PBE level.

a = 7.735 Å, b = 7.735 Å, c = 7.638 Å
α = 97.34°, β = 97.34°, γ = 136.73°
Positions (direct):
Pm (0.000, 0.000, 0.000)
Mg (0.000, 0.000, 0.500)
Mg (0.000, 0.500, 0.000)
Mg (0.011, 0.354, 0.358)
Mg (0.301, 0.507, 0.780)
Mg (0.354, 0.011, 0.358)
Mg (0.493, 0.699, 0.220)
Mg (0.500, 0.000, 0.000)
Mg (0.507, 0.301, 0.780)
Mg (0.646, 0.989, 0.642)
Mg (0.699, 0.493, 0.220)
Mg (0.989, 0.646, 0.642)
Cu (0.500, 0.500, 0.500)

Summary:
E_tot	-27.02	eV/cell
total magnetization	0.00	μB per atom
ΔH_f (0 K)	-0.0490	eV per atom
density	2.69	g/cm³
space-group type	C2/m, No. 12


No. 2
Below is a relaxed structure of ZrCr3H, with properties calculated at the GGA-PBE level.

a = 4.910 Å, b = 4.910 Å, c = 4.910 Å
α = 90.00°, β = 90.00°, γ = 90.00°
Positions (direct):
Zr (0.000, 0.000, 0.000)
Cr (0.000, 0.000, 0.500)
Cr (0.000, 0.500, 0.000)
Cr (0.500, 0.000, 0.000)
H (0.500, 0.500, 0.500)

Summary:
E_tot	-29.49	eV/cell
total magnetization	2.05	μB per atom
energy relative to the lowest polymorph listed for this composition	1907.2	meV per atom
density	3.48	g/cm³
space-group type	Pm-3m, No. 221


No. 3
Below is a relaxed structure of Ca3LaPr3, with properties calculated at the GGA-PBE level.

a = 10.142 Å, b = 10.142 Å, c = 6.019 Å
α = 90.00°, β = 90.00°, γ = 120.00°
Positions (direct):
Ca (0.054, 0.248, 0.250)
Ca (0.194, 0.946, 0.250)
Ca (0.248, 0.194, 0.750)
Ca (0.752, 0.806, 0.250)
Ca (0.806, 0.054, 0.750)
Ca (0.946, 0.752, 0.750)
La (0.333, 0.667, 0.250)
La (0.667, 0.333, 0.750)
Pr (0.103, 0.489, 0.750)
Pr (0.386, 0.897, 0.750)
Pr (0.489, 0.386, 0.250)
Pr (0.511, 0.614, 0.750)
Pr (0.614, 0.103, 0.250)
Pr (0.897, 0.511, 0.250)

Summary:
E_tot	-50.03	eV/cell
total magnetization	0.00	μB per atom
ΔH_f (0 K)	0.0366	eV per atom
density	4.22	g/cm³
space-group type	P6_3/m, No. 176


No. 4
Below is a relaxed structure of BBr, with properties calculated at the GGA-PBE level.

a = 7.487 Å, b = 7.487 Å, c = 7.487 Å
α = 109.47°, β = 109.47°, γ = 109.47°
Positions (direct):
B (0.000, 0.000, 0.862)
B (0.000, 0.862, 0.000)
B (0.138, 0.138, 0.138)
B (0.862, 0.000, 0.000)
Br (0.000, 0.000, 0.610)
Br (0.000, 0.610, 0.000)
Br (0.390, 0.390, 0.390)
Br (0.610, 0.000, 0.000)

Summary:
E_tot	-33.91	eV/cell
total magnetization	0.00	μB per atom
energy relative to the lowest polymorph listed for this composition	263.0	meV per atom
density	1.86	g/cm³
space-group type	I-43m, No. 217


No. 5
Below is a relaxed structure of CeHoIrRh, with properties calculated at the GGA-PBE level.

a = 4.194 Å, b = 5.657 Å, c = 5.657 Å
α = 39.58°, β = 90.00°, γ = 90.00°
Positions (direct):
Ce (0.000, 0.000, 0.000)
Ho (0.500, 0.282, 0.282)
Ir (0.500, 0.554, 0.554)
Rh (0.000, 0.740, 0.740)

Summary:
E_tot	-30.09	eV/cell
total magnetization	0.00	μB per atom
energy relative to the lowest polymorph listed for this composition	0.0	meV per atom
ΔH_f (0 K)	-0.8426	eV per atom
density	11.65	g/cm³
space-group type	Amm2, No. 38


No. 6
Below is a relaxed structure of Zr2ScTaC4, with properties calculated at the GGA-PBE level.

a = 5.659 Å, b = 3.278 Å, c = 5.685 Å
α = 90.00°, β = 109.27°, γ = 90.00°
Positions (direct):
Zr (0.000, 0.000, 0.000)
Zr (0.000, 0.500, 0.500)
Sc (0.500, 0.000, 0.500)
Ta (0.500, 0.500, 0.000)
C (0.256, 0.500, 0.243)
C (0.261, 0.000, 0.760)
C (0.739, 0.000, 0.240)
C (0.744, 0.500, 0.757)

Summary:
E_tot	-77.91	eV/cell
total magnetization	0.00	μB per atom
ΔH_f (0 K)	-0.7166	eV per atom
density	7.61	g/cm³
space-group type	P2/m, No. 10


No. 7
Below is a relaxed structure of TaZn2Ag, with properties calculated at the GGA-PBE level.

a = 4.655 Å, b = 4.655 Å, c = 5.395 Å
α = 98.74°, β = 98.74°, γ = 35.17°
Positions (direct):
Ta (0.000, 0.000, 0.000)
Zn (0.249, 0.249, 0.748)
Zn (0.751, 0.751, 0.252)
Ag (0.500, 0.500, 0.500)

Summary:
E_tot	-16.32	eV/cell
total magnetization	0.00	μB per atom
energy relative to the lowest polymorph listed for this composition	247.4	meV per atom
ΔH_f (0 K)	0.2331	eV per atom
density	10.48	g/cm³
space-group type	C2/m, No. 12


No. 8
Below is a relaxed structure of Ce4PuSc, with properties calculated at the GGA-PBE level.

a = 10.179 Å, b = 5.677 Å, c = 12.772 Å
α = 90.00°, β = 122.70°, γ = 90.00°
Positions (direct):
Ce (0.069, 0.241, 0.498)
Ce (0.069, 0.259, 0.998)
Ce (0.261, 0.743, 0.003)
Ce (0.261, 0.757, 0.503)
Ce (0.267, 0.574, 0.750)
Ce (0.267, 0.926, 0.250)
Ce (0.413, 0.250, 0.010)
Ce (0.413, 0.250, 0.510)
Ce (0.587, 0.750, 0.490)
Ce (0.587, 0.750, 0.990)
Ce (0.733, 0.074, 0.750)
Ce (0.733, 0.426, 0.250)
Ce (0.739, 0.243, 0.497)
Ce (0.739, 0.257, 0.997)
Ce (0.931, 0.741, 0.002)
Ce (0.931, 0.759, 0.502)
Pu (0.401, 0.118, 0.754)
Pu (0.401, 0.382, 0.254)
Pu (0.599, 0.618, 0.746)
Pu (0.599, 0.882, 0.246)
Sc (0.081, 0.097, 0.757)
Sc (0.081, 0.403, 0.257)
Sc (0.919, 0.597, 0.743)
Sc (0.919, 0.903, 0.243)

Summary:
E_tot	-176.19	eV/cell
total magnetization	0.81	μB per atom
ΔH_f (0 K)	0.0584	eV per atom
density	9.08	g/cm³
space-group type	P2_1/c, No. 14


No. 9
Below is a relaxed structure of Sr3Bi3Rh, with properties calculated at the GGA-PBE level.

a = 6.585 Å, b = 6.585 Å, c = 16.877 Å
α = 106.88°, β = 106.88°, γ = 41.73°
Positions (direct):
Sr (0.027, 0.027, 0.244)
Sr (0.177, 0.177, 0.081)
Sr (0.380, 0.380, 0.390)
Sr (0.620, 0.620, 0.610)
Sr (0.823, 0.823, 0.919)
Sr (0.973, 0.973, 0.756)
Bi (0.129, 0.129, 0.462)
Bi (0.255, 0.255, 0.747)
Bi (0.448, 0.448, 0.072)
Bi (0.552, 0.552, 0.928)
Bi (0.745, 0.745, 0.253)
Bi (0.871, 0.871, 0.538)
Rh (0.329, 0.329, 0.606)
Rh (0.671, 0.671, 0.394)

Summary:
E_tot	-57.44	eV/cell
total magnetization	0.00	μB per atom
ΔH_f (0 K)	-0.6683	eV per atom
density	7.12	g/cm³
space-group type	C2/m, No. 12


No. 10
Below is a relaxed structure of SrCaCu2O4, with properties calculated at the GGA-PBE level.

a = 3.923 Å, b = 8.241 Å, c = 8.241 Å
α = 24.55°, β = 90.00°, γ = 90.00°
Positions (direct):
Sr (0.000, 0.000, 0.000)
Ca (0.500, 0.338, 0.338)
Cu (0.000, 0.734, 0.734)
Cu (0.500, 0.607, 0.607)
O (0.000, 0.616, 0.616)
O (0.000, 0.850, 0.850)
O (0.500, 0.486, 0.486)
O (0.500, 0.728, 0.728)

Summary:
E_tot	-45.55	eV/cell
total magnetization	0.00	μB per atom
energy relative to the lowest polymorph listed for this composition	2.2	meV per atom
density	4.78	g/cm³
space-group type	Amm2, No. 38


No. 11
Below is a relaxed structure of RhAuI2N, with properties calculated at the GGA-PBE level.

a = 5.661 Å, b = 5.661 Å, c = 3.688 Å
α = 90.00°, β = 90.00°, γ = 90.00°
Positions (direct):
Rh (0.000, 0.000, 0.000)
Au (0.500, 0.500, 0.500)
I (0.000, 0.500, 0.000)
I (0.500, 0.000, 0.000)
N (0.000, 0.000, 0.500)

Summary:
E_tot	-19.20	eV/cell
total magnetization	0.00	μB per atom
energy relative to the lowest polymorph listed for this composition	0.0	meV per atom
density	7.97	g/cm³
space-group type	P4/mmm, No. 123


No. 12
Below is a relaxed structure of Nb2ReHRu, with properties calculated at the GGA-PBE level.

a = 4.350 Å, b = 4.350 Å, c = 3.602 Å
α = 90.00°, β = 90.00°, γ = 90.00°
Positions (direct):
Nb (0.000, 0.500, 0.000)
Nb (0.500, 0.000, 0.000)
Re (0.000, 0.000, 0.500)
H (0.000, 0.000, 0.000)
Ru (0.500, 0.500, 0.500)

Summary:
E_tot	-45.39	eV/cell
total magnetization	0.00	μB per atom
energy relative to the lowest polymorph listed for this composition	78.0	meV per atom
density	11.55	g/cm³
space-group type	P4/mmm, No. 123


No. 13
Below is a relaxed structure of BaTl2SbH, with properties calculated at the GGA-PBE level.

a = 5.146 Å, b = 5.146 Å, c = 5.302 Å
α = 90.00°, β = 90.00°, γ = 90.00°
Positions (direct):
Ba (0.000, 0.000, 0.000)
Tl (0.000, 0.500, 0.500)
Tl (0.500, 0.000, 0.500)
Sb (0.500, 0.500, 0.000)
H (0.000, 0.000, 0.500)

Summary:
E_tot	-15.49	eV/cell
total magnetization	0.00	μB per atom
density	7.91	g/cm³
space-group type	P4/mmm, No. 123


No. 14
Below is a relaxed structure of TlCdGe2Pt, with properties calculated at the GGA-PBE level.

a = 5.040 Å, b = 5.040 Å, c = 5.436 Å
α = 90.00°, β = 90.00°, γ = 90.00°
Positions (direct):
Tl (0.000, 0.000, 0.000)
Cd (0.000, 0.000, 0.500)
Ge (0.000, 0.500, 0.500)
Ge (0.500, 0.000, 0.500)
Pt (0.500, 0.500, 0.000)

Summary:
E_tot	-13.42	eV/cell
total magnetization	0.00	μB per atom
ΔH_f (0 K)	1.0279	eV per atom
density	7.90	g/cm³
space-group type	P4/mmm, No. 123


No. 15
Below is a relaxed structure of Ta2SiN, with properties calculated at the GGA-PBE level.

a = 6.465 Å, b = 6.465 Å, c = 6.465 Å
α = 133.17°, β = 133.17°, γ = 68.39°
Positions (direct):
Ta (0.040, 0.625, 0.915)
Ta (0.375, 0.290, 0.415)
Ta (0.710, 0.125, 0.085)
Ta (0.875, 0.960, 0.585)
Si (0.250, 0.750, 0.500)
Si (0.500, 0.500, 0.000)
N (0.000, 0.000, 0.000)
N (0.750, 0.250, 0.500)

Summary:
E_tot	-75.28	eV/cell
total magnetization	0.00	μB per atom
energy relative to the lowest polymorph listed for this composition	398.0	meV per atom
density	9.50	g/cm³
space-group type	I-42d, No. 122


No. 16
Below is a relaxed structure of Ac2SeN2, with properties calculated at the GGA-PBE level.

a = 7.670 Å, b = 7.670 Å, c = 6.983 Å
α = 100.26°, β = 100.26°, γ = 33.45°
Positions (direct):
Ac (0.070, 0.637, 0.852)
Ac (0.363, 0.930, 0.648)
Ac (0.637, 0.070, 0.352)
Ac (0.930, 0.363, 0.148)
Se (0.280, 0.720, 0.250)
Se (0.720, 0.280, 0.750)
N (0.143, 0.411, 0.471)
N (0.411, 0.143, 0.971)
N (0.589, 0.857, 0.029)
N (0.857, 0.589, 0.529)

Summary:
E_tot	-70.53	eV/cell
total magnetization	0.00	μB per atom
density	8.38	g/cm³
space-group type	C2/c, No. 15


No. 17
Below is a relaxed structure of CaEu2, with properties calculated at the GGA-PBE level.

a = 7.201 Å, b = 7.201 Å, c = 7.201 Å
α = 60.00°, β = 60.00°, γ = 60.00°
Positions (direct):
Ca (0.125, 0.125, 0.125)
Ca (0.875, 0.875, 0.875)
Eu (0.000, 0.500, 0.500)
Eu (0.500, 0.000, 0.500)
Eu (0.500, 0.500, 0.000)
Eu (0.500, 0.500, 0.500)

Summary:
E_tot	-44.48	eV/cell
total magnetization	5.01	μB per atom
energy relative to the lowest polymorph listed for this composition	76.0	meV per atom
ΔH_f (0 K)	0.1040	eV per atom
density	4.33	g/cm³
space-group type	Fd-3m, No. 227


No. 18
Below is a relaxed structure of Ba6Pt3Br2, with properties calculated at the GGA-PBE level.

a = 8.001 Å, b = 8.001 Å, c = 8.562 Å
α = 99.00°, β = 99.00°, γ = 119.97°
Positions (direct):
Ba (0.069, 0.405, 0.213)
Ba (0.260, 0.260, 0.789)
Ba (0.405, 0.069, 0.213)
Ba (0.595, 0.931, 0.787)
Ba (0.740, 0.740, 0.211)
Ba (0.931, 0.595, 0.787)
Pt (0.000, 0.000, 0.000)
Pt (0.331, 0.669, 0.000)
Pt (0.669, 0.331, 0.000)
Br (0.166, 0.834, 0.500)
Br (0.834, 0.166, 0.500)

Summary:
E_tot	-44.91	eV/cell
total magnetization	0.00	μB per atom
density	5.78	g/cm³
space-group type	C2/m, No. 12


No. 19
Below is a relaxed structure of K2Hg2Se, with properties calculated at the GGA-PBE level.

a = 6.569 Å, b = 6.569 Å, c = 6.569 Å
α = 120.59°, β = 120.59°, γ = 88.98°
Positions (direct):
K (0.250, 0.750, 0.500)
K (0.750, 0.250, 0.500)
Hg (0.168, 0.168, 0.000)
Hg (0.832, 0.832, 0.000)
Se (0.500, 0.500, 0.000)

Summary:
E_tot	-8.18	eV/cell
total magnetization	0.00	μB per atom
energy relative to the lowest polymorph listed for this composition	64.0	meV per atom
density	4.67	g/cm³
space-group type	I4/mmm, No. 139


No. 20
Below is a relaxed structure of Ca2GeSbMo, with properties calculated at the GGA-PBE level.

a = 5.751 Å, b = 5.751 Å, c = 5.111 Å
α = 90.00°, β = 90.00°, γ = 90.00°
Positions (direct):
Ca (0.000, 0.500, 0.000)
Ca (0.500, 0.000, 0.000)
Ge (0.000, 0.000, 0.500)
Sb (0.500, 0.500, 0.000)
Mo (0.500, 0.500, 0.500)

Summary:
E_tot	-20.86	eV/cell
total magnetization	0.48	μB per atom
density	3.64	g/cm³
space-group type	P4/mmm, No. 123


No. 21
Below is a relaxed structure of NaGdPb, with properties calculated at the GGA-PBE level.

a = 7.779 Å, b = 7.779 Å, c = 7.779 Å
α = 153.59°, β = 153.59°, γ = 37.69°
Positions (direct):
Na (0.000, 0.000, 0.000)
Gd (0.700, 0.700, 0.000)
Pb (0.348, 0.348, 0.000)

Summary:
E_tot	-19.50	eV/cell
total magnetization	2.49	μB per atom
energy relative to the lowest polymorph listed for this composition	75.4	meV per atom
ΔH_f (0 K)	-0.1299	eV per atom
density	6.92	g/cm³
space-group type	I4mm, No. 107


No. 22
Below is a relaxed structure of Nd2TlCl8, with properties calculated at the GGA-PBE level.

a = 7.191 Å, b = 7.191 Å, c = 7.186 Å
α = 100.22°, β = 100.22°, γ = 75.82°
Positions (direct):
Nd (0.182, 0.182, 0.448)
Nd (0.818, 0.818, 0.552)
Tl (0.500, 0.500, 0.000)
Cl (0.060, 0.060, 0.742)
Cl (0.167, 0.550, 0.677)
Cl (0.302, 0.302, 0.158)
Cl (0.450, 0.833, 0.323)
Cl (0.550, 0.167, 0.677)
Cl (0.698, 0.698, 0.842)
Cl (0.833, 0.450, 0.323)
Cl (0.940, 0.940, 0.258)

Summary:
E_tot	-46.49	eV/cell
total magnetization	0.00	μB per atom
energy relative to the lowest polymorph listed for this composition	26.8	meV per atom
density	3.67	g/cm³
space-group type	C2/m, No. 12


No. 23
Below is a relaxed structure of MgTi2Cd, with properties calculated at the GGA-PBE level.

a = 2.900 Å, b = 2.900 Å, c = 9.138 Å
α = 90.00°, β = 90.00°, γ = 90.00°
Positions (direct):
Mg (0.000, 0.000, 0.000)
Ti (0.000, 0.000, 0.478)
Ti (0.500, 0.500, 0.267)
Cd (0.500, 0.500, 0.737)

Summary:
E_tot	-18.44	eV/cell
total magnetization	0.00	μB per atom
energy relative to the lowest polymorph listed for this composition	0.0	meV per atom
ΔH_f (0 K)	-0.0347	eV per atom
density	5.02	g/cm³
space-group type	P4mm, No. 99


No. 24
Below is a relaxed structure of Li3NbOs, with properties calculated at the GGA-PBE level.

a = 4.349 Å, b = 4.349 Å, c = 4.349 Å
α = 90.00°, β = 90.00°, γ = 90.00°
Positions (direct):
Li (0.000, 0.000, 0.500)
Li (0.000, 0.500, 0.000)
Li (0.500, 0.000, 0.000)
Nb (0.500, 0.500, 0.500)
Os (0.000, 0.000, 0.000)

Summary:
E_tot	-19.85	eV/cell
total magnetization	0.00	μB per atom
energy relative to the lowest polymorph listed for this composition	0.0	meV per atom
ΔH_f (0 K)	1.4377	eV per atom
density	6.14	g/cm³
space-group type	Pm-3m, No. 221